Compound: NpCrAsO6
Source: the Alexandria database
Functional: PBE+U
Structure: optimized geometry

a b c (Å): 5.303 5.303 9.179
angles (deg): 90.00 90.00 120.00
Last column: magnetic moment on the atom in μB.
Atoms (fractional coordinates):
O 0.008 0.662 0.368  -0.06
O 0.654 0.662 0.132  -0.06
O 0.338 0.992 0.132  -0.06
O 0.008 0.346 0.132  -0.06
O 0.338 0.346 0.368  -0.06
O 0.346 0.338 0.868  -0.06
O 0.654 0.992 0.368  -0.06
O 0.662 0.008 0.868  -0.06
O 0.346 0.008 0.632  -0.06
O 0.992 0.338 0.632  -0.06
O 0.662 0.654 0.632  -0.06
O 0.992 0.654 0.868  -0.06
Cr 0.333 0.667 0.250  2.92
Cr 0.667 0.333 0.750  2.92
Np 0.667 0.333 0.250  1.37
Np 0.333 0.667 0.750  1.37
As 0.000 0.000 0.000  0.01
As 0.000 0.000 0.500  0.01

Calculated values
Total energy: -8.034 eV/atom
Symmetry: P-31c
D(E_F): 0.07 states/eV/f.u.
Crystal system: trigonal
Calculated volume: 223.5 Å³/cell